## La7Pm2Tm (PBE)

Data for crystalline La7Pm2Tm at its relaxed geometry.

abc: 5.6204 9.3327 9.3328
angles: 122.40 90.00 90.00
Sites, in units of the cell vectors:
Tm  0.0000  0.0000  0.0000
La  0.5000  0.2990  0.0727
Pm  0.5000  0.7016  0.2984
La  0.5000  0.7010  0.9273
La  0.0000  0.7613  0.2387
Pm  0.5000  0.2984  0.7016
La  0.5000  0.5000  0.5000
La  0.0000  0.2387  0.7613
La  0.5000  0.0727  0.2990
La  0.5000  0.9273  0.7010

Properties
As for the formation energy: 0.56 eV per atom.

---

## LaPm2Tm5 (PBE)

Data for crystalline LaPm2Tm5 at its relaxed geometry.

abc: 3.5452 11.1177 8.7558
angles: 129.41 101.63 90.02
Sites, in units of the cell vectors:
Pm  0.2573  0.7575  0.5149
Pm  0.7427  0.2425  0.4851
Tm  0.3670  0.1390  0.7344
Tm  0.6329  0.4048  0.2656
Tm  0.0000  0.5000  0.0000
La  0.0000  0.0000  0.0000
Tm  0.3671  0.5952  0.7344
Tm  0.6330  0.8610  0.2656

Properties
As for the formation energy: 0.03 eV per atom.

---

no.,V (Å³/f.u.),ΔE to the lowest computed polymorph (meV/atom),total moment (μB per formula unit)
1,413.3,246,0.0
2,257.4,13,0.0